## MnTlF3 (PBE+U)

Data for MnTlF3 after structural relaxation.

Properties
Volume (Å³/cell): 182.93
DFT total energy (eV/atom): -5.13
Magnetic moment (Bohr magnetons per cell): 8.00

The structure in POSCAR format:
```
MnTlF3
1.0
-2.3797 -5.6157 4.8330
3.9828 -3.3226 1.0327
-0.3482 2.0198 4.7124
Tl F Mn
2 6 2
Direct
0.1668 0.8823 0.3360 Tl
0.0922 0.4246 0.8890 Tl
0.5702 0.4661 0.9641 F
0.6917 0.8882 0.3398 F
0.3602 0.2621 0.3198 F
0.9005 0.0732 0.9628 F
0.3396 0.8410 0.7293 F
0.9184 0.4434 0.5074 F
0.6302 0.1783 0.1545 Mn
0.6291 0.6141 0.5902 Mn
```